Entry 1:
Computed, not measured: a relaxed PmScIrPd crystal at the PBE-GGA level of DFT.

a = 4.8393 Å, b = 4.8393 Å, c = 4.8393 Å
α = 60.00°, β = 60.00°, γ = 60.00°
Closest atoms and distances in Å follow each position.
Element x y z (fractional)
Sc1 0.2500 0.2500 0.2500  4 Ir 2.96, 4 Pd 2.96
Ir1 0.0000 0.0000 0.0000  4 Pm 2.96, 4 Sc 2.96
Pd1 0.5000 0.5000 0.5000  4 Sc 2.96, 4 Pm 2.96
Pm1 0.7500 0.7500 0.7500  4 Ir 2.96, 4 Pd 2.96

Summary:
* energy of formation: -0.78 eV/atom
* DOS at the Fermi energy: 2.209 states/eV/f.u.



Entry 2:
Computed, not measured: a relaxed CaSbH3 crystal at the PBE-GGA level of DFT.

a = 4.2136 Å, b = 4.2136 Å, c = 4.2136 Å
α = 90.00°, β = 90.00°, γ = 90.00°
Closest atoms and distances in Å follow each position.
Element x y z (fractional)
Sb1 0.0000 0.0000 0.0000  6 H 2.11
Ca1 0.5000 0.5000 0.5000  12 H 2.98
H1 0.0000 0.5000 0.0000  2 Sb 2.11
H2 0.0000 0.0000 0.5000  2 Sb 2.11
H3 0.5000 0.0000 0.0000  2 Sb 2.11

Summary:
* DOS at the Fermi energy: 2.122 states/eV/f.u.
* VASP energy: -2.96 eV/atom



Entry 3:
Computed, not measured: a relaxed SbMo2 crystal at the PBE-GGA level of DFT.

a = 4.5891 Å, b = 5.5659 Å, c = 8.2960 Å
α = 90.00°, β = 90.00°, γ = 90.00°
Closest atoms and distances in Å follow each position.
Element x y z (fractional)
Sb1 0.2500 0.6747 0.3907  10 Mo 2.77-2.98
Sb2 0.7500 0.8253 0.8907  10 Mo 2.77-2.98
Sb3 0.2500 0.1747 0.1093  10 Mo 2.77-2.98
Sb4 0.7500 0.3253 0.6093  10 Mo 2.77-2.98
Mo1 0.2500 0.1072 0.7620  3 Mo 2.64-2.79, 3 Sb 2.89-2.91
Mo2 0.7500 0.3928 0.2620  3 Mo 2.64-2.79, 3 Sb 2.89-2.91
Mo3 0.2500 0.6072 0.7380  3 Mo 2.64-2.79, 3 Sb 2.89-2.91
Mo4 0.7500 0.8928 0.2380  3 Mo 2.64-2.79, 3 Sb 2.89-2.91
Mo5 0.2500 0.1834 0.4479  1 Mo 2.64, 5 Sb 2.77-2.87
Mo6 0.7500 0.3166 0.9479  1 Mo 2.64, 5 Sb 2.77-2.87
Mo7 0.2500 0.6834 0.0521  1 Mo 2.64, 5 Sb 2.77-2.87
Mo8 0.7500 0.8166 0.5521  1 Mo 2.64, 5 Sb 2.77-2.87

Summary:
* DOS at the Fermi energy: 2.655 states/eV/f.u.
* formation energy from raw total energies: 318.2 meV/atom



Entry 4:
Computed, not measured: a relaxed Na2YGe2 crystal at the PBE-GGA level of DFT.

a = 8.5491 Å, b = 8.5491 Å, c = 3.0643 Å
α = 90.00°, β = 90.00°, γ = 90.00°
Closest atoms and distances in Å follow each position.
Element x y z (fractional)
Y1 0.0000 0.0000 0.0000  2 Y 3.06
Y2 0.5000 0.5000 0.0000  2 Y 3.06
Na1 0.3876 0.8876 0.0000  1 Na 2.72, 2 Ge 2.87
Na2 0.8876 0.6124 0.0000  1 Na 2.72, 2 Ge 2.87
Na3 0.6124 0.1124 0.0000  1 Na 2.72, 2 Ge 2.87
Na4 0.1124 0.3876 0.0000  1 Na 2.72, 2 Ge 2.87
Ge1 0.1868 0.6868 0.5000  6 Na 2.87-3.05, 2 Ge 3.06
Ge2 0.6868 0.8132 0.5000  6 Na 2.87-3.05, 2 Ge 3.06
Ge3 0.8132 0.3132 0.5000  6 Na 2.87-3.05, 2 Ge 3.06
Ge4 0.3132 0.1868 0.5000  6 Na 2.87-3.05, 2 Ge 3.06

Summary:
* energy of formation: -0.07 eV/atom
* DOS at the Fermi energy: 1.730 states/eV/f.u.



Entry 5:
Computed, not measured: a relaxed YEr2Pd2 crystal at the PBE-GGA level of DFT.

a = 3.9094 Å, b = 7.7879 Å, c = 7.7879 Å
α = 90.00°, β = 90.00°, γ = 90.00°
Closest atoms and distances in Å follow each position.
Element x y z (fractional)
Y1 0.5000 0.5000 0.0000  4 Pd 3.04
Y2 0.5000 0.0000 0.5000  4 Pd 3.04
Er1 0.0000 0.6634 0.3366  6 Pd 2.98-3.03
Er2 0.0000 0.8366 0.8366  6 Pd 2.98-3.03
Er3 0.0000 0.1634 0.1634  6 Pd 2.98-3.03
Er4 0.0000 0.3366 0.6634  6 Pd 2.98-3.03
Pd1 0.5000 0.3673 0.3673  1 Pd 2.92, 6 Er 2.98-3.03, 2 Y 3.04
Pd2 0.5000 0.8673 0.1327  1 Pd 2.92, 6 Er 2.98-3.03, 2 Y 3.04
Pd3 0.5000 0.1327 0.8673  1 Pd 2.92, 6 Er 2.98-3.03, 2 Y 3.04
Pd4 0.5000 0.6327 0.6327  1 Pd 2.92, 6 Er 2.98-3.03, 2 Y 3.04

Summary:
* energy of formation: -0.74 eV/atom
* DOS at the Fermi energy: 4.247 states/eV/f.u.



Entry 6:
Computed, not measured: a relaxed BeCr2Pt crystal at the PBE-GGA level of DFT.

a = 3.3220 Å, b = 3.3220 Å, c = 9.3723 Å
α = 79.79°, β = 79.79°, γ = 90.00°
Closest atoms and distances in Å follow each position.
Element x y z (fractional)
Cr1 0.5876 0.1250 0.2500  2 Cr 2.18
Cr2 0.1624 0.6250 0.2500  2 Cr 2.18
Cr3 0.3750 0.4124 0.7500  2 Cr 2.18
Cr4 0.8750 0.8376 0.7500  2 Cr 2.18
Pt1 0.0000 0.0000 0.0000  4 Be 2.35, 4 Cr 2.60
Pt2 0.7500 0.2500 0.5000  4 Be 2.35, 4 Cr 2.60
Be1 0.5000 0.5000 0.0000  4 Pt 2.35, 4 Cr 2.52
Be2 0.2500 0.7500 0.5000  4 Pt 2.35, 4 Cr 2.52

Summary:
* energy of formation: 0.21 eV/atom
* DOS at the Fermi energy: 3.161 states/eV/f.u.



Entry 7:
Computed, not measured: a relaxed Nd2SiNi3 crystal at the PBE-GGA level of DFT.

a = 3.9958 Å, b = 4.0240 Å, c = 7.0988 Å
α = 90.00°, β = 90.00°, γ = 90.00°
Closest atoms and distances in Å follow each position.
Element x y z (fractional)
Nd1 0.0000 0.5000 0.9959  10 Ni 3.05-3.13, 2 Si 3.10
Nd2 0.0000 0.0000 0.5093  8 Ni 3.02-3.11, 4 Si 3.11
Si1 0.5000 0.5000 0.3302  3 Ni 2.30-2.31
Ni1 0.5000 0.0000 0.8364  3 Ni 2.39
Ni2 0.5000 0.0000 0.1727  2 Si 2.30, 1 Ni 2.39
Ni3 0.5000 0.5000 0.6557  1 Si 2.31, 2 Ni 2.39

Summary:
* DOS at the Fermi energy: 4.045 states/eV/f.u.
* formation energy from raw total energies: -500.5 meV/atom



Entry 8:
Computed, not measured: a relaxed HgTeW2 crystal at the PBE-GGA level of DFT.

a = 5.6204 Å, b = 5.6204 Å, c = 5.6204 Å
α = 146.09°, β = 128.40°, γ = 63.18°
Closest atoms and distances in Å follow each position.
Element x y z (fractional)
Hg1 0.7500 0.2500 0.5000  4 Te 2.94, 4 W 2.97, 2 Hg 3.28
Te1 0.2500 0.7500 0.5000  4 W 2.83, 4 Hg 2.94
W1 0.0088 0.0088 0.0000  2 Te 2.83, 4 W 2.95, 2 Hg 2.97
W2 0.4912 0.4912 0.0000  2 Te 2.83, 4 W 2.95, 2 Hg 2.97

Summary:
* DOS at the Fermi energy: 3.334 states/eV/f.u.
* formation energy from raw total energies: 1092.7 meV/atom



Entry 9:
Computed, not measured: a relaxed NaCoTcS3 crystal at the PBE-GGA level of DFT.

a = 3.4820 Å, b = 7.6199 Å, c = 8.6242 Å
α = 110.51°, β = 90.00°, γ = 90.00°
Closest atoms and distances in Å follow each position.
Element x y z (fractional)
Na1 0.7500 0.7652 0.7475  7 S 2.84-3.17
Na2 0.2500 0.2348 0.2525  7 S 2.84-3.17
Co1 0.2500 0.0885 0.6035  4 S 2.19-2.26
Co2 0.7500 0.9115 0.3965  4 S 2.19-2.26
Tc1 0.2500 0.6996 0.1747  6 S 2.34-2.52
Tc2 0.7500 0.3004 0.8253  6 S 2.34-2.52
S1 0.2500 0.7765 0.4620  3 Co 2.19-2.26, 1 Tc 2.34
S2 0.7500 0.8997 0.1392  1 Co 2.19, 2 Tc 2.40
S3 0.7500 0.4567 0.1358  3 Tc 2.48-2.52
S4 0.7500 0.2235 0.5380  3 Co 2.19-2.26, 1 Tc 2.34
S5 0.2500 0.5433 0.8642  3 Tc 2.48-2.52
S6 0.2500 0.1003 0.8608  1 Co 2.19, 2 Tc 2.40

Summary:
* DOS at the Fermi energy: 1.642 states/eV/f.u.
* formation energy from raw total energies: -624.8 meV/atom



Entry 10:
Computed, not measured: a relaxed CrReBAu crystal at the PBE-GGA level of DFT.

a = 4.6381 Å, b = 2.9591 Å, c = 8.7244 Å
α = 90.00°, β = 120.90°, γ = 90.00°
Closest atoms and distances in Å follow each position.
Element x y z (fractional)
Re1 0.5452 0.0000 0.7158  2 B 2.18
Re2 0.5452 0.5000 0.2158  2 B 2.18
B1 0.1636 0.0000 0.0528  2 Cr 2.07, 2 Re 2.18
B2 0.1636 0.5000 0.5528  2 Cr 2.07, 2 Re 2.18
Au1 0.1507 0.0000 0.3311  3 B 2.41-2.46, 1 Cr 2.68
Au2 0.1507 0.5000 0.8311  3 B 2.41-2.46, 1 Cr 2.68
Cr1 0.8249 0.0000 0.5206  2 B 2.07
Cr2 0.8249 0.5000 0.0206  2 B 2.07

Summary:
* energy of formation: 0.27 eV/atom
* DOS at the Fermi energy: 2.552 states/eV/f.u.



Entry 11:
Computed, not measured: a relaxed Dy7Tm2 crystal at the PBE-GGA level of DFT.

a = 6.1017 Å, b = 6.1017 Å, c = 8.6215 Å
α = 90.00°, β = 90.00°, γ = 120.00°
Closest atoms and distances in Å follow each position.
Element x y z (fractional)
Dy1 0.0000 0.0000 0.0000  6 Dy 3.51, 6 Tm 3.52
Dy2 0.6664 0.0000 0.3322  2 Tm 3.51, 10 Dy 3.51-3.54
Dy3 0.0000 0.6664 0.3322  2 Tm 3.51, 10 Dy 3.51-3.54
Dy4 0.3336 0.3336 0.3322  2 Tm 3.51, 10 Dy 3.51-3.54
Dy5 0.0000 0.3336 0.6678  2 Tm 3.51, 10 Dy 3.51-3.54
Dy6 0.3336 0.0000 0.6678  2 Tm 3.51, 10 Dy 3.51-3.54
Dy7 0.6664 0.6664 0.6678  2 Tm 3.51, 10 Dy 3.51-3.54
Tm1 0.3333 0.6667 0.0000  9 Dy 3.51-3.52, 3 Tm 3.52
Tm2 0.6667 0.3333 0.0000  9 Dy 3.51-3.52, 3 Tm 3.52

Summary:
* energy of formation: 0.02 eV/atom
* DOS at the Fermi energy: 13.106 states/eV/f.u.



Entry 12:
Computed, not measured: a relaxed Dy2Ho3In4 crystal at the PBE-GGA level of DFT.

a = 7.0155 Å, b = 9.4325 Å, c = 8.6438 Å
α = 90.00°, β = 113.94°, γ = 90.00°
Closest atoms and distances in Å follow each position.
Element x y z (fractional)
Dy1 0.1093 0.5570 0.2186  3 In 3.23-3.26
Dy2 0.8907 0.4430 0.7814  3 In 3.23-3.26
Dy3 0.3907 0.0570 0.7814  3 In 3.23-3.26
Dy4 0.6093 0.9430 0.2186  3 In 3.23-3.26
Ho1 0.0000 0.0000 0.0000  6 In 2.95-3.04
Ho2 0.5000 0.5000 0.0000  6 In 2.95-3.04
Ho3 0.5355 0.7500 0.5710  5 In 3.09-3.20
Ho4 0.9645 0.2500 0.4290  5 In 3.09-3.20
Ho5 0.4645 0.2500 0.4290  5 In 3.09-3.20
Ho6 0.0355 0.7500 0.5710  5 In 3.09-3.20
In1 0.7321 0.7500 0.9642  3 Ho 2.95-3.11, 2 Dy 3.23
In2 0.7679 0.2500 0.0358  3 Ho 2.95-3.11, 2 Dy 3.23
In3 0.2679 0.2500 0.0358  3 Ho 2.95-3.11, 2 Dy 3.23
In4 0.2321 0.7500 0.9642  3 Ho 2.95-3.11, 2 Dy 3.23
In5 0.1915 0.9684 0.3830  5 Ho 3.04-3.20, 1 Dy 3.26
In6 0.8085 0.0316 0.6170  5 Ho 3.04-3.20, 1 Dy 3.26
In7 0.3085 0.4684 0.6170  5 Ho 3.04-3.20, 1 Dy 3.26
In8 0.6915 0.5316 0.3830  5 Ho 3.04-3.20, 1 Dy 3.26

Summary:
* energy of formation: -0.25 eV/atom
* DOS at the Fermi energy: 6.857 states/eV/f.u.